Material: CaY2Ru2
Method: DFT, PBE-GGA
State: optimized geometry

a = 8.023 Å, b = 8.023 Å, c = 3.532 Å
α = 90.00°, β = 90.00°, γ = 90.00°
Fractional coordinates of all 10 atoms:
Ca: 0.000 0.000 0.000
Ca: 0.500 0.500 0.000
Y: 0.147 0.353 0.500
Y: 0.353 0.853 0.500
Y: 0.647 0.147 0.500
Y: 0.853 0.647 0.500
Ru: 0.147 0.647 0.000
Ru: 0.353 0.147 0.000
Ru: 0.647 0.853 0.000
Ru: 0.853 0.353 0.000

* E: -6.840 eV/atom
* SG: No. 127
* energy relative to the elements: -0.72 eV/f.u.
* D(E_F): 5.102 states/eV per cell